No. 1
# GaAs2Rh

A relaxed structure of GaAs2Rh (PBE, Alexandria via LeMat-Bulk).

For the energy of formation, the calculation gives -0.14 eV per atom.

The structure belongs to space group I-42d (No. 122); the cell edges are 5.7019, 5.7019 and 11.1452 Å and the angles 90.00°, 90.00° and 90.00°. The inequivalent atoms are Ga at (0.0000, 0.0000, 0.0000), As at (0.2291, 0.2500, 0.6250) and Rh at (0.0000, 0.0000, 0.5000).


No. 2
# BaSn2Pd

A relaxed structure of BaSn2Pd (PBE, Alexandria via LeMat-Bulk).

For the energy of formation, the calculation gives -0.62 eV per atom.

The structure belongs to space group C2/c (No. 15); the cell edges are 6.7121, 12.1479 and 6.2834 Å and the angles 90.00°, 116.64° and 90.00°. The inequivalent atoms are Ba at (0.0000, 0.1211, 0.2500), Sn at (0.1054, 0.3882, 0.0729) and Pd at (0.0000, 0.2187, 0.7500).


No. 3
# Pm10SmY4

A relaxed structure of Pm10SmY4 (PBE, Alexandria via LeMat-Bulk).

For the energy of formation, the calculation gives 0.73 eV per atom.

The structure belongs to space group I4/m (No. 87); the cell edges are 12.3925, 12.3925 and 7.8124 Å and the angles 90.00°, 90.00° and 90.00°. The inequivalent atoms are Pm at (0.0000, 0.5000, 0.2500), Pm at (0.0995, 0.2005, 0.2496), Sm at (0.0000, 0.0000, 0.0000) and Y at (0.1002, 0.7006, 0.5000).


No. 4
# TlMoRh2

A relaxed structure of TlMoRh2 (PBE, Alexandria via LeMat-Bulk).

The calculation puts the excess energy over the best structure of this formula in the dataset at 240 meV per atom. For the energy of formation, the calculation gives 0.23 eV per atom.

The structure belongs to space group Pm (No. 6); the cell edges are 2.9011, 4.6669 and 4.8706 Å and the angles 90.00°, 93.09° and 90.00°. The inequivalent atoms are Tl at (0.0000, 0.0000, 0.0000), Mo at (0.9426, 0.5000, 0.3677), Rh at (0.4599, 0.0000, 0.5067) and Rh at (0.5071, 0.5000, 0.8427).


No. 5
# MgAlAg

A relaxed structure of MgAlAg (PBE, Alexandria via LeMat-Bulk).

For the energy of formation, the calculation gives -0.09 eV per atom.

The structure belongs to space group P-6m2 (No. 187); the cell edges are 4.5506, 4.5506 and 3.1169 Å and the angles 90.00°, 90.00° and 120.00°. The inequivalent atoms are Mg at (0.0000, 0.0000, 0.0000), Al at (0.3333, 0.6667, 0.5000) and Ag at (0.6667, 0.3333, 0.5000).


No. 6
# Tb5TmSe6

A relaxed structure of Tb5TmSe6 (PBE, Alexandria via LeMat-Bulk).

The value obtained for the formation energy without anion corrections is -2033 kJ/mol of formula units.

The structure belongs to space group C2/m (No. 12); the cell edges are 7.0701, 12.2789 and 7.0542 Å and the angles 90.00°, 109.61° and 90.00°. The inequivalent atoms are Tb at (0.0000, 0.0000, 0.0000), Tb at (0.0000, 0.1677, 0.5000), Tb at (0.0000, 0.3295, 0.0000), Tm at (0.0000, 0.5000, 0.5000), Se at (0.2453, 0.5000, 0.2509) and Se at (0.2464, 0.3362, 0.7466).


No. 7
# TaTe7

A relaxed structure of TaTe7 (PBE, Alexandria via LeMat-Bulk).

The value obtained for the formation energy without anion corrections is 494 kJ/mol of formula units.

The structure belongs to space group Fm-3m (No. 225); the cell edges are 9.4890, 9.4890 and 9.4890 Å and the angles 90.00°, 90.00° and 90.00°. The inequivalent atoms are Ta at (0.0000, 0.0000, 0.0000), Te at (0.0000, 0.0000, 0.5000) and Te at (0.0000, 0.2500, 0.2500).


No. 8
# Pr5SmY

A relaxed structure of Pr5SmY (PBE, Alexandria via LeMat-Bulk).

The calculation puts the excess energy over the best structure of this formula in the dataset at 786 meV per atom. For the energy of formation, the calculation gives 0.95 eV per atom.

The structure belongs to space group C2/m (No. 12); the cell edges are 13.6141, 8.8712 and 5.9816 Å and the angles 90.00°, 115.99° and 90.00°. The inequivalent atoms are Pr at (0.0000, 0.0000, 0.0000), Pr at (0.0000, 0.3235, 0.5000), Pr at (0.2485, 0.0000, 0.7484), Sm at (0.0000, 0.0000, 0.5000) and Y at (0.0000, 0.5000, 0.0000).


No. 9
# CdHg2BiSe

A relaxed structure of CdHg2BiSe (PBE, Alexandria via LeMat-Bulk).

The value obtained for the formation energy without anion corrections is 163 kJ/mol of formula units.

The structure belongs to space group P4/mmm (No. 123); the cell edges are 5.4142, 5.4142 and 5.3339 Å and the angles 90.00°, 90.00° and 90.00°. The inequivalent atoms are Cd at (0.0000, 0.0000, 0.0000), Hg at (0.0000, 0.5000, 0.5000), Bi at (0.5000, 0.5000, 0.0000) and Se at (0.0000, 0.0000, 0.5000).


No. 10
# Cu4Pd6Pt

A relaxed structure of Cu4Pd6Pt (PBE, Alexandria via LeMat-Bulk).

For the energy of formation, the calculation gives 0.14 eV per atom.

The structure belongs to space group I-42m (No. 121); the cell edges are 5.1047, 5.1047 and 13.0683 Å and the angles 90.00°, 90.00° and 90.00°. The inequivalent atoms are Cu at (0.1874, 0.1874, 0.1305), Pd at (0.0000, 0.5000, 0.0000), Pd at (0.2012, 0.2012, 0.3223) and Pt at (0.0000, 0.0000, 0.5000).


No. 11
# BePCCl2

A relaxed structure of BePCCl2 (PBE, Alexandria via LeMat-Bulk).

The value obtained for the formation energy without anion corrections is 697 kJ/mol of formula units. The calculation puts the excess energy over the best structure of this formula in the dataset at 51 meV per atom.

The structure belongs to space group P4/mmm (No. 123); the cell edges are 4.4054, 4.4054 and 4.0393 Å and the angles 90.00°, 90.00° and 90.00°. The inequivalent atoms are Be at (0.0000, 0.0000, 0.0000), P at (0.5000, 0.5000, 0.0000), C at (0.5000, 0.5000, 0.5000) and Cl at (0.0000, 0.5000, 0.5000).


No. 12
# BeGaBi3

A relaxed structure of BeGaBi3 (PBE, Alexandria via LeMat-Bulk).

The calculation puts the excess energy over the best structure of this formula in the dataset at 0 meV per atom. For the energy of formation, the calculation gives 0.47 eV per atom.

The structure belongs to space group Pm-3m (No. 221); the cell edges are 5.1857, 5.1857 and 5.1857 Å and the angles 90.00°, 90.00° and 90.00°. The inequivalent atoms are Be at (0.0000, 0.0000, 0.0000), Ga at (0.5000, 0.5000, 0.5000) and Bi at (0.0000, 0.0000, 0.5000).


No. 13
# Th4Ge2PSe

A relaxed structure of Th4Ge2PSe (PBE, Alexandria via LeMat-Bulk).

The value obtained for the formation energy without anion corrections is -920 kJ/mol of formula units.

The structure belongs to space group P2/m (No. 10); the cell edges are 7.2949, 4.2559 and 7.3999 Å and the angles 90.00°, 109.55° and 90.00°. The inequivalent atoms are Th at (0.2471, 0.0000, 0.2407), Th at (0.2530, 0.5000, 0.7586), Ge at (0.0000, 0.0000, 0.5000), Ge at (0.0000, 0.5000, 0.0000), P at (0.5000, 0.0000, 0.0000) and Se at (0.5000, 0.5000, 0.5000).


No. 14
# Mn12Pt4N

A relaxed structure of Mn12Pt4N (PBE, Alexandria via LeMat-Bulk).

The value obtained for the formation energy without anion corrections is -436 kJ/mol of formula units.

The structure belongs to space group P2/m (No. 10); the cell edges are 4.4369, 5.3701 and 9.3918 Å and the angles 90.00°, 90.59° and 90.00°. The inequivalent atoms are Mn at (0.2363, 0.0000, 0.1699), Mn at (0.2484, 0.2520, 0.9097), Mn at (0.2502, 0.2510, 0.4114), Mn at (0.2514, 0.5000, 0.6633), Pt at (0.2412, 0.5000, 0.1639), Pt at (0.2510, 0.0000, 0.6593) and N at (0.5000, 0.0000, 0.0000).


No. 15
# Ti2TeBr2

A relaxed structure of Ti2TeBr2 (PBE, Alexandria via LeMat-Bulk).

The value obtained for the formation energy without anion corrections is -141 kJ/mol of formula units. The calculation puts the excess energy over the best structure of this formula in the dataset at 24 meV per atom.

The structure belongs to space group I4/mmm (No. 139); the cell edges are 4.4075, 4.4075 and 11.9492 Å and the angles 90.00°, 90.00° and 90.00°. The inequivalent atoms are Ti at (0.0000, 0.0000, 0.1145), Te at (0.0000, 0.0000, 0.5000) and Br at (0.0000, 0.5000, 0.2500).


No. 16
# Ba2CeZnS5

A relaxed structure of Ba2CeZnS5 (PBE, Alexandria via LeMat-Bulk).

The value obtained for the formation energy without anion corrections is -1492 kJ/mol of formula units.

The structure belongs to space group Cmc2_1 (No. 36); the cell edges are 4.1756, 18.1131 and 12.8773 Å and the angles 90.00°, 90.00° and 90.00°. The inequivalent atoms are Ba at (0.0000, 0.1117, 0.0000), Ba at (0.0000, 0.1229, 0.6353), Ce at (0.0000, 0.2026, 0.3320), Zn at (0.0000, 0.4427, 0.7491), S at (0.0000, 0.0509, 0.3443), S at (0.0000, 0.2934, 0.9712), S at (0.0000, 0.3104, 0.6895), S at (0.0000, 0.3487, 0.3204) and S at (0.0000, 0.4998, 0.0914).


No. 17
# Ba2YPd2

A relaxed structure of Ba2YPd2 (PBE, Alexandria via LeMat-Bulk).

The calculation puts the excess energy over the best structure of this formula in the dataset at 0 meV per atom. For the energy of formation, the calculation gives -0.42 eV per atom.

The structure belongs to space group P4/mbm (No. 127); the cell edges are 7.9538, 7.9538 and 4.9202 Å and the angles 90.00°, 90.00° and 90.00°. The inequivalent atoms are Ba at (0.1660, 0.3340, 0.0000), Y at (0.0000, 0.0000, 0.5000) and Pd at (0.1358, 0.6358, 0.5000).


No. 18
# Ga4Pt

A relaxed structure of Ga4Pt (PBE, Alexandria via LeMat-Bulk).

The calculation puts the excess energy over the best structure of this formula in the dataset at 200 meV per atom. For the energy of formation, the calculation gives -0.08 eV per atom.

The structure belongs to space group Pm-3m (No. 221); the cell edges are 4.8500, 4.8500 and 4.8500 Å and the angles 90.00°, 90.00° and 90.00°. The inequivalent atoms are Ga at (0.0000, 0.0000, 0.0000), Ga at (0.0000, 0.5000, 0.5000) and Pt at (0.5000, 0.5000, 0.5000).


No. 19
# PmSmIn

A relaxed structure of PmSmIn (PBE, Alexandria via LeMat-Bulk).

The calculation puts the excess energy over the best structure of this formula in the dataset at 0 meV per atom. For the energy of formation, the calculation gives -0.34 eV per atom.

The structure belongs to space group P6_3/mmc (No. 194); the cell edges are 5.5211, 5.5211 and 6.8662 Å and the angles 90.00°, 90.00° and 120.00°. The inequivalent atoms are Pm at (0.0000, 0.0000, 0.0000), Sm at (0.3333, 0.6667, 0.2500) and In at (0.3333, 0.6667, 0.7500).


No. 20
# PmHo6In3

A relaxed structure of PmHo6In3 (PBE, Alexandria via LeMat-Bulk).

The calculation puts the excess energy over the best structure of this formula in the dataset at 129 meV per atom. For the energy of formation, the calculation gives -0.14 eV per atom.

The structure belongs to space group Cmc2_1 (No. 36); the cell edges are 10.4742, 15.1667 and 7.7085 Å and the angles 90.00°, 90.00° and 90.00°. The inequivalent atoms are Pm at (0.0000, 0.2178, 0.0000), Ho at (0.0000, 0.0492, 0.2839), Ho at (0.0000, 0.2998, 0.4575), Ho at (0.2314, 0.4669, 0.4742), Ho at (0.2380, 0.3127, 0.7870), In at (0.0000, 0.4456, 0.7611) and In at (0.1470, 0.1324, 0.6498).


No. 21
# RbAlFe2I

A relaxed structure of RbAlFe2I (PBE, Alexandria via LeMat-Bulk).

The value obtained for the formation energy without anion corrections is 905 kJ/mol of formula units.

The structure belongs to space group P4/mmm (No. 123); the cell edges are 5.8036, 5.8036 and 6.5751 Å and the angles 90.00°, 90.00° and 90.00°. The inequivalent atoms are Rb at (0.0000, 0.0000, 0.0000), Al at (0.5000, 0.5000, 0.5000), Fe at (0.0000, 0.5000, 0.0000) and I at (0.0000, 0.0000, 0.5000).


No. 22
# BaAg4Hg8

A relaxed structure of BaAg4Hg8 (PBE, Alexandria via LeMat-Bulk).

For the energy of formation, the calculation gives -0.09 eV per atom.

The structure belongs to space group I4/mmm (No. 139); the cell edges are 10.4849, 10.4849 and 5.6620 Å and the angles 90.00°, 90.00° and 90.00°. The inequivalent atoms are Ba at (0.0000, 0.0000, 0.0000), Ag at (0.2500, 0.2500, 0.2500), Hg at (0.0000, 0.2185, 0.5000) and Hg at (0.0000, 0.3507, 0.0000).


No. 23
# Zr2CoP

A relaxed structure of Zr2CoP (PBE, Alexandria via LeMat-Bulk).

The calculation puts the excess energy over the best structure of this formula in the dataset at 442 meV per atom. For the energy of formation, the calculation gives -0.49 eV per atom.

The structure belongs to space group Immm (No. 71); the cell edges are 4.0551, 4.4859 and 7.3023 Å and the angles 90.00°, 90.00° and 90.00°. The inequivalent atoms are Zr at (0.0000, 0.0000, 0.2484), Co at (0.0000, 0.5000, 0.5000) and P at (0.0000, 0.5000, 0.0000).


No. 24
# Cu2SeBr

A relaxed structure of Cu2SeBr (PBE, Alexandria via LeMat-Bulk).

The value obtained for the formation energy without anion corrections is -32 kJ/mol of formula units. The calculation puts the excess energy over the best structure of this formula in the dataset at 113 meV per atom.

The structure belongs to space group Cm (No. 8); the cell edges are 7.8532, 3.5632 and 6.4290 Å and the angles 90.00°, 100.26° and 90.00°. The inequivalent atoms are Cu at (0.0000, 0.0000, 0.0000), Cu at (0.2307, 0.5000, 0.1480), Se at (0.2811, 0.0000, 0.8969) and Br at (0.0772, 0.5000, 0.4221).


Values of M_tot, in order: 0.0, 0.0, 0.0, 0.0, 0.0, 0.0, 8.0, 0.0, 0.0, 0.0, 0.4, 0.0, 0.0, 11.3, 4.0, 0.0, 0.0, 0.0, 1.0, 0.0, 7.0, 0.0, 1.9, 0.0, all in Bohr magnetons per cell.